The following is a PBE+U calculation of crystalline Li4CoO3F at its relaxed geometry, from the Alexandria database.

Properties
The distance to the lowest polymorph of the same formula comes out at 45 meV/atom. As for the crystal system: triclinic. The calculation puts the volume at 91 Å³/f.u. As for the total energy: -5.08 eV/atom.

abc: 5.1696 5.8531 6.8324
angles: 105.01 71.58 110.64
Last column: magnetic moment on the atom in μB.
Fractional coordinates of all 18 atoms:
Li  0.1945  0.3025  0.0249  0.00
Li  0.3568  0.0113  0.5512  0.00
Li  0.3786  0.5581  0.5647  0.00
Li  0.6923  0.4518  0.7460  0.01
Li  0.9394  0.1262  0.3541  0.00
Li  0.9862  0.6357  0.4153  0.02
Li  0.4737  0.7318  0.1581  0.00
Li  0.1469  0.8409  0.9784  0.01
Co  0.7803  0.9724  0.8154  1.90
Co  0.5139  0.2287  0.2254  2.98
O  0.8349  0.0198  0.0728  0.04
O  0.5594  0.1877  0.9171  0.14
O  0.0122  0.7765  0.7120  0.05
O  0.6414  0.3351  0.4648  0.23
O  0.2756  0.4445  0.2946  0.15
O  0.2188  0.9271  0.2777  0.20
F  0.6581  0.8846  0.5533  0.01
F  0.3371  0.5655  0.8741  0.00